{
  "formula": "Y6Tl8In",
  "functional": "PBE",
  "state": "relaxed",
  "ef_ev_per_atom": -0.224,
  "cell": [[4.453, 2.571, 6.534], [-4.453, 2.571, 6.534], [0.000, -5.142, 6.534]],
  "species": ["Y", "Y", "Y", "Y", "Y", "Y", "Tl", "Tl", "Tl", "Tl", "Tl", "Tl", "Tl", "Tl", "In"],
  "fractional_positions": [[0.079, 0.496, 0.752], [0.248, 0.921, 0.504], [0.496, 0.752, 0.079], [0.504, 0.248, 0.921], [0.752, 0.079, 0.496], [0.921, 0.504, 0.248], [0.075, 0.733, 0.337], [0.136, 0.136, 0.136], [0.267, 0.663, 0.925], [0.337, 0.075, 0.733], [0.663, 0.925, 0.267], [0.733, 0.337, 0.075], [0.864, 0.864, 0.864], [0.925, 0.267, 0.663], [0.500, 0.500, 0.500]]
}



{
  "formula": "Rb2ScTlGa",
  "functional": "PBE",
  "state": "relaxed",
  "ef_ev_per_atom": 0.615,
  "cell": [[6.946, 0.000, 0.000], [0.000, 6.946, 0.000], [0.000, 0.000, 5.594]],
  "species": ["Rb", "Rb", "Sc", "Tl", "Ga"],
  "fractional_positions": [[0.000, 0.500, 0.000], [0.500, 0.000, 0.000], [0.000, 0.000, 0.500], [0.000, 0.000, 0.000], [0.500, 0.500, 0.500]]
}



{
  "formula": "RbCd2I6",
  "functional": "PBE",
  "state": "relaxed",
  "formation_energy_uncorrected_mev_per_atom": -653,
  "cell": [[7.742, -7.426, 0.000], [7.742, 7.426, 0.000], [-2.092, 0.000, 7.858]],
  "species": ["Rb", "Rb", "Cd", "Cd", "Cd", "Cd", "I", "I", "I", "I", "I", "I", "I", "I", "I", "I", "I", "I"],
  "fractional_positions": [[0.154, 0.846, 0.750], [0.846, 0.154, 0.250], [0.239, 0.360, 0.790], [0.360, 0.239, 0.290], [0.640, 0.761, 0.710], [0.761, 0.640, 0.210], [0.061, 0.172, 0.670], [0.136, 0.568, 0.002], [0.172, 0.061, 0.170], [0.297, 0.465, 0.513], [0.432, 0.864, 0.498], [0.465, 0.297, 0.013], [0.535, 0.703, 0.987], [0.568, 0.136, 0.502], [0.703, 0.535, 0.487], [0.828, 0.939, 0.830], [0.864, 0.432, 0.998], [0.939, 0.828, 0.330]]
}



{
  "formula": "SrMoPCl2",
  "functional": "PBE",
  "state": "relaxed",
  "formation_energy_uncorrected_mev_per_atom": -703,
  "polymorph_energy_mev_per_atom": 0,
  "cell": [[4.987, 0.000, 0.000], [0.000, 4.987, 0.000], [0.000, 0.000, 4.782]],
  "species": ["Sr", "Mo", "P", "Cl", "Cl"],
  "fractional_positions": [[0.000, 0.000, 0.000], [0.500, 0.500, 0.500], [0.500, 0.500, 0.000], [0.000, 0.500, 0.500], [0.500, 0.000, 0.500]]
}



Number 1: density 8.449 g/cm3. Number 2: density 3.014 g/cm3. Number 3: density 3.940 g/cm3. Number 4: density 3.986 g/cm3.